# 1
Pr3OsCl2O6: relaxed, GGA-PBE.

Cell and atoms, written as POSCAR:
```
Pr3OsCl2O6
1.0
5.6202 0.0000 0.6718
0.0000 6.7523 0.0000
0.1543 -3.3762 5.9210
O Pr Os Cl
6 3 1 2
Direct
0.6976 0.8252 0.1110
0.6715 0.8428 0.6856
0.3285 0.1572 0.3144
0.6976 0.2858 0.1110
0.3024 0.1748 0.8890
0.3024 0.7142 0.8890
0.5000 0.0000 0.5000
0.5000 0.5000 0.5000
0.0000 0.5000 0.0000
0.5000 0.0000 0.0000
0.8743 0.2844 0.5687
0.1257 0.7156 0.4313
```

Summary:
As for the mass density: 5.8 g cm⁻³. For the raw formation energy, the calculation gives -2.05 eV per atom. The value obtained for the magnetic moment is 2.920 μB/cell.



# 2
Sn2HgAu4: relaxed, GGA-PBE.

Cell and atoms, written as POSCAR:
```
Sn2HgAu4
1.0
5.6260 0.0000 0.0000
0.0000 5.6836 -2.4107
0.0000 -0.8244 10.1346
Au Hg Sn
8 2 4
Direct
0.5034 0.2861 0.6111
0.7500 0.0520 0.3197
0.9966 0.2861 0.6111
0.0034 0.7139 0.3889
0.2500 0.9480 0.6803
0.2500 0.7833 0.1561
0.7500 0.2167 0.8439
0.4966 0.7139 0.3889
0.7500 0.3092 0.1467
0.2500 0.6908 0.8533
0.2500 0.2836 0.3675
0.2500 0.2657 0.9829
0.7500 0.7343 0.0171
0.7500 0.7164 0.6325
```

Summary:
The value obtained for the calculated formation energy is -0.029 eV/atom. As for the mass density: 13.0 g cm⁻³. The value obtained for the magnetic moment is 0.000 μB/cell.



# 3
AlZn2Cd: relaxed, GGA-PBE.

Cell and atoms, written as POSCAR:
```
AlZn2Cd
1.0
-4.9070 -0.9622 -0.5711
-1.5926 -2.6390 3.9787
2.5985 4.2995 -0.3053
Zn Al Cd
2 1 1
Direct
0.0000 0.0000 0.0000
0.5000 0.5000 0.0000
0.7500 0.2500 0.5000
0.2500 0.7500 0.5000
```

Summary:
The value obtained for the calculated formation energy is 0.103 eV/atom. As for the mass density: 6.4 g cm⁻³. The value obtained for the magnetic moment is 0.000 μB/cell.